A plane-wave DFT calculation with PBE was carried out for an optimized crystal structure of K3ZnH5.

Cell and atoms, written as POSCAR:
```
K3ZnH5
1.0
-0.3241 -3.4882 6.8422
-1.2959 -6.9068 -3.1154
6.0178 4.3126 -2.0679
K Zn H
6 2 10
Cartesian
4.2331 -1.6152 -2.6651
0.1647 -4.4672 4.3241
1.7256 -5.8801 1.0616
2.6722 -0.2023 0.5973
-0.4050 -2.5987 0.9317
-1.2150 -7.7962 2.7951
1.9559 -3.8958 -1.6599
2.4419 -2.1866 3.3189
3.1253 -5.0408 -1.3810
0.4992 -4.5946 -1.2779
2.4207 -2.6775 4.9047
2.1757 -3.5394 2.3941
1.2725 -1.0415 3.0399
3.8986 -1.4878 2.9368
1.9771 -3.4049 -3.2458
2.2221 -2.5430 -0.7351
-0.8100 -5.1975 1.8634
0.0000 0.0000 0.0000
```

Crystal system ... tetragonal
Electronic total energy ... -47.1 eV/cell
Size of the total moment ... 0.000 μB/atom